(1)
Material: KLa2HO
Method: DFT, PBE
State: relaxed

It has space group P4/mmm (No. 123), with a = 4.613 Å, b = 4.613 Å, c = 5.486 Å, α = 90.00°, β = 90.00° and γ = 90.00°. The asymmetric unit holds K at (0.000, 0.000, 0.000), La at (0.000, 0.500, 0.500), H at (0.000, 0.000, 0.500) and O at (0.500, 0.500, 0.000).

As for the density of states at the Fermi level: 4.61 states/eV/f.u.

(2)
Material: KLaH2S2O9
Method: DFT, PBE
State: relaxed

It has space group P3_221 (No. 154), with a = 7.2884 Å, b = 7.2884 Å, c = 13.3811 Å, α = 90.00°, β = 90.00° and γ = 120.00°. The asymmetric unit holds K at (0.0000, 0.4511, 0.3333), La at (0.0000, 0.4362, 0.8333), H at (0.0398, 0.9524, 0.4581), S at (0.0055, 0.4456, 0.5937), O at (0.0000, 0.0835, 0.8333), O at (0.1128, 0.6258, 0.6657), O at (0.1175, 0.3702, 0.0091), O at (0.1356, 0.6149, 0.1410) and O at (0.1622, 0.4203, 0.5326).

As for the density of states at the Fermi level: 0.00 states/eV/f.u.

(3)
Material: KLaH6Pd2
Method: DFT, PBE
State: relaxed

It has space group C2/c (No. 15), with a = 8.407 Å, b = 9.976 Å, c = 6.933 Å, α = 90.00°, β = 119.72° and γ = 90.00°. The asymmetric unit holds K at (0.000, 0.003, 0.250), La at (0.000, 0.370, 0.750), H at (0.136, 0.446, 0.145), H at (0.155, 0.195, 0.056), H at (0.223, 0.347, 0.539) and Pd at (0.189, 0.293, 0.281).

As for the density of states at the Fermi level: 0.19 states/eV/f.u.

(4)
Material: K2LaHRh
Method: DFT, PBE
State: relaxed

It has space group P4/mmm (No. 123), with a = 6.659 Å, b = 6.659 Å, c = 4.060 Å, α = 90.00°, β = 90.00° and γ = 90.00°. The asymmetric unit holds K at (0.000, 0.500, 0.000), La at (0.000, 0.000, 0.000), H at (0.000, 0.000, 0.500) and Rh at (0.500, 0.500, 0.500).

As for the density of states at the Fermi level: 8.11 states/eV/f.u.

(5)
Material: K2LaHRu
Method: DFT, PBE
State: relaxed

It has space group P4/mmm (No. 123), with a = 4.531 Å, b = 4.531 Å, c = 5.864 Å, α = 90.00°, β = 90.00° and γ = 90.00°. The asymmetric unit holds K at (0.000, 0.500, 0.000), La at (0.000, 0.000, 0.500), H at (0.000, 0.000, 0.000) and Ru at (0.500, 0.500, 0.500).

As for the density of states at the Fermi level: 1.49 states/eV/f.u.

(6)
Material: KLaH2S
Method: DFT, PBE
State: relaxed

It has space group P4/mmm (No. 123), with a = 4.702 Å, b = 4.702 Å, c = 5.594 Å, α = 90.00°, β = 90.00° and γ = 90.00°. The asymmetric unit holds K at (0.000, 0.000, 0.000), La at (0.500, 0.500, 0.500), H at (0.000, 0.500, 0.500) and S at (0.500, 0.500, 0.000).

As for the density of states at the Fermi level: 0.00 states/eV/f.u.

(7)
Material: KLaSi2H
Method: DFT, PBE
State: relaxed

It has space group P4/mmm (No. 123), with a = 5.232 Å, b = 5.232 Å, c = 5.829 Å, α = 90.00°, β = 90.00° and γ = 90.00°. The asymmetric unit holds K at (0.000, 0.000, 0.000), La at (0.000, 0.000, 0.500), Si at (0.000, 0.500, 0.000) and H at (0.500, 0.500, 0.500).

As for the density of states at the Fermi level: 5.86 states/eV/f.u.

(8)
Material: KLa2SnH
Method: DFT, PBE
State: relaxed

It has space group P4/mmm (No. 123), with a = 5.242 Å, b = 5.242 Å, c = 5.027 Å, α = 90.00°, β = 90.00° and γ = 90.00°. The asymmetric unit holds K at (0.000, 0.000, 0.000), La at (0.000, 0.500, 0.500), Sn at (0.500, 0.500, 0.000) and H at (0.000, 0.000, 0.500).

As for the density of states at the Fermi level: 4.32 states/eV/f.u.

| no. | E (Ry per atom) | total moment (μB per formula unit) |
| --- | --- | --- |
| 1 | -0.287 | 0.0 |
| 2 | -0.461 | 0.0 |
| 3 | -0.296 | 0.0 |
| 4 | -0.185 | 0.8 |
| 5 | -0.254 | 0.0 |
| 6 | -0.312 | 0.0 |
| 7 | -0.161 | 0.6 |
| 8 | -0.290 | 0.0 |